1.
RbGdNO | GGA-PBE | relaxed

Calculated values
Electronic total energy ... -5.94 eV per atom

Cell lengths 4.0017, 6.3596, 7.5592 Å; angles 90.00, 90.00, 90.00 degrees
With the nearest neighbours (Å) after each atom.
Positions (direct):
N 0.0000 0.4390 0.7114  2 Gd 2.30
N 0.0000 0.9389 0.2886  2 Gd 2.30
O 0.5000 0.3373 0.0999  2 Gd 2.15-2.16
O 0.5000 0.8373 0.9001  2 Gd 2.15-2.16
Gd 0.5000 0.0032 0.1485  2 O 2.15-2.16, 2 N 2.30
Gd 0.5000 0.5032 0.8515  2 O 2.15-2.16, 2 N 2.30
Rb 0.0000 0.9746 0.6694  2 O 2.79, 2 N 2.89-2.97
Rb 0.0000 0.4746 0.3306  2 O 2.79, 2 N 2.89-2.97

---

2.
GdReNO | GGA-PBE | relaxed

Calculated values
Electronic total energy ... -8.84 eV per atom

Cell lengths 3.8396, 4.9924, 5.3498 Å; angles 90.00, 90.00, 90.00 degrees
With the nearest neighbours (Å) after each atom.
Positions (direct):
O 0.5000 0.2552 0.0040  2 Re 2.21
O 0.5000 0.7552 0.9960  2 Re 2.21
Gd 0.0000 0.0001 0.7939  3 N 2.48-2.59, 4 O 2.52-2.56
Gd 0.0000 0.5001 0.2061  3 N 2.48-2.59, 4 O 2.52-2.56
N 0.0000 0.4993 0.6697  2 Re 1.92
N 0.0000 0.9993 0.3303  2 Re 1.92
Re 0.5000 0.9994 0.3412  2 N 1.92
Re 0.5000 0.4994 0.6588  2 N 1.92

---

3.
GdReNO | GGA-PBE | relaxed

Calculated values
Electronic total energy ... -8.25 eV per atom

Cell lengths 4.9015, 4.9015, 4.3071 Å; angles 90.00, 90.00, 90.00 degrees
With the nearest neighbours (Å) after each atom.
Positions (direct):
O 0.5000 0.5000 0.0000  2 Gd 2.15
O 0.0000 0.0000 0.0000  2 Gd 2.15
Re 0.5000 0.0000 0.0003  2 N 2.15
Re 0.0000 0.5000 0.9997  2 N 2.15
Gd 0.0000 0.0000 0.5000  2 O 2.15
Gd 0.5000 0.5000 0.5000  2 O 2.15
N 0.5000 0.0000 0.5005  2 Re 2.15
N 0.0000 0.5000 0.4995  2 Re 2.15

---

4.
GdReNO | GGA-PBE | relaxed

Calculated values
Electronic total energy ... -8.24 eV per atom

Cell lengths 4.8171, 4.8171, 4.3507 Å; angles 90.00, 90.00, 90.00 degrees
With the nearest neighbours (Å) after each atom.
Positions (direct):
Re 0.2500 0.2500 0.0034  2 N 2.17-2.18, 4 O 2.41
Re 0.7500 0.7500 0.9966  2 N 2.17-2.18, 4 O 2.41
N 0.7500 0.7500 0.4955  2 Re 2.17-2.18, 4 Gd 2.41
N 0.2500 0.2500 0.5045  2 Re 2.17-2.18, 4 Gd 2.41
Gd 0.2500 0.7500 0.5000  2 O 2.18, 4 N 2.41
Gd 0.7500 0.2500 0.5000  2 O 2.18, 4 N 2.41
O 0.2500 0.7500 0.0000  2 Gd 2.18, 4 Re 2.41
O 0.7500 0.2500 0.0000  2 Gd 2.18, 4 Re 2.41

---

5.
GdReNO | GGA-PBE | relaxed

Calculated values
Electronic total energy ... -8.89 eV per atom

Cell lengths 3.8014, 3.8014, 7.8508 Å; angles 90.00, 90.00, 90.00 degrees
With the nearest neighbours (Å) after each atom.
Positions (direct):
Re 0.2500 0.7500 0.5000  4 N 2.14
Re 0.7500 0.2500 0.5000  4 N 2.14
Gd 0.2500 0.2500 0.1486  4 O 2.23
Gd 0.7500 0.7500 0.8514  4 O 2.23
N 0.7500 0.7500 0.3747  4 Re 2.14
N 0.2500 0.2500 0.6253  4 Re 2.14
O 0.2500 0.7500 0.0000  4 Gd 2.23
O 0.7500 0.2500 0.0000  4 Gd 2.23

---

6.
GdReNO | GGA-PBE | relaxed

Calculated values
Electronic total energy ... -8.55 eV per atom

Cell lengths 3.2620, 6.2672, 5.6983 Å; angles 90.00, 90.00, 90.00 degrees
With the nearest neighbours (Å) after each atom.
Positions (direct):
N 0.0000 0.3332 0.5771  2 Re 1.84-1.96
N 0.0000 0.8332 0.4229  2 Re 1.84-1.96
O 0.5000 0.3626 0.1836  2 Re 2.18, 2 Gd 2.23
O 0.5000 0.8626 0.8164  2 Re 2.18, 2 Gd 2.23
Gd 0.5000 0.0064 0.1742  2 O 2.23, 2 N 2.42
Gd 0.5000 0.5064 0.8258  2 O 2.23, 2 N 2.42
Re 0.0000 0.0517 0.6700  2 N 1.84-1.96
Re 0.0000 0.5517 0.3300  2 N 1.84-1.96

---

7.
GdSbNO | GGA-PBE | relaxed

Calculated values
Electronic total energy ... -6.73 eV per atom

Cell lengths 3.8585, 6.3695, 6.4022 Å; angles 90.00, 90.00, 90.00 degrees
With the nearest neighbours (Å) after each atom.
Positions (direct):
N 0.0000 0.4076 0.6104  2 Sb 2.08-2.19
N 0.0000 0.9076 0.3896  2 Sb 2.08-2.19
Sb 0.0000 0.5692 0.3273  2 N 2.08-2.19
Sb 0.0000 0.0692 0.6727  2 N 2.08-2.19
O 0.5000 0.2924 0.0735  2 Gd 2.11
O 0.5000 0.7924 0.9265  2 Gd 2.11
Gd 0.5000 0.4847 0.8054  2 O 2.11, 2 N 2.35
Gd 0.5000 0.9847 0.1946  2 O 2.11, 2 N 2.35

---

8.
GdSbNO | GGA-PBE | relaxed

Calculated values
Electronic total energy ... -6.58 eV per atom

Cell lengths 4.9232, 4.9232, 5.0808 Å; angles 90.00, 90.00, 90.00 degrees
With the nearest neighbours (Å) after each atom.
Positions (direct):
Sb 0.5000 0.0000 0.0000  1 N 2.07
Sb 0.0000 0.5000 0.0000  1 N 2.07
N 0.0000 0.5000 0.5935  1 Sb 2.07
N 0.5000 0.0000 0.4065  1 Sb 2.07
O 0.5000 0.5000 0.0000  4 Sb 2.46, 2 Gd 2.54
O 0.0000 0.0000 0.0000  4 Sb 2.46, 2 Gd 2.54
Gd 0.0000 0.0000 0.5000  4 N 2.51, 2 O 2.54
Gd 0.5000 0.5000 0.5000  4 N 2.51, 2 O 2.54

---

9.
GdSbNO | GGA-PBE | relaxed

Calculated values
Electronic total energy ... -6.71 eV per atom

Cell lengths 3.7334, 5.7521, 6.6184 Å; angles 90.00, 90.00, 90.00 degrees
With the nearest neighbours (Å) after each atom.
Positions (direct):
O 0.5000 0.3121 0.3273  1 Sb 2.13, 2 Gd 2.21
O 0.5000 0.8121 0.6727  1 Sb 2.13, 2 Gd 2.21
Gd 0.0000 0.0182 0.6579  2 O 2.21, 2 N 2.31-2.34
Gd 0.0000 0.5182 0.3421  2 O 2.21, 2 N 2.31-2.34
N 0.0000 0.9247 0.3178  2 Sb 2.20, 2 Gd 2.31-2.34
N 0.0000 0.4247 0.6822  2 Sb 2.20, 2 Gd 2.31-2.34
Sb 0.5000 0.4991 0.8446  1 O 2.13, 2 N 2.20
Sb 0.5000 0.9991 0.1554  1 O 2.13, 2 N 2.20

---

10.
GdSbNO | GGA-PBE | relaxed

Calculated values
Electronic total energy ... -6.66 eV per atom

Cell lengths 6.6671, 7.1743, 5.5955 Å; angles 90.00, 90.00, 90.00 degrees
With the nearest neighbours (Å) after each atom.
Positions (direct):
Gd 0.4175 0.6605 0.4735  3 N 2.28-2.36, 1 O 2.34
Gd 0.5825 0.3395 0.9735  3 N 2.28-2.36, 1 O 2.34
Gd 0.9175 0.3395 0.4735  3 N 2.28-2.36, 1 O 2.34
Gd 0.0825 0.6605 0.9735  3 N 2.28-2.36, 1 O 2.34
N 0.4140 0.6190 0.0555  1 Sb 2.09, 1 Gd 2.28
N 0.0860 0.6190 0.5555  1 Sb 2.09, 1 Gd 2.28
N 0.5860 0.3810 0.5555  1 Sb 2.09, 1 Gd 2.28
N 0.9140 0.3810 0.0555  1 Sb 2.09, 1 Gd 2.28
Sb 0.8722 0.8212 0.4718  1 N 2.09, 2 O 2.14-2.22
Sb 0.6278 0.8212 0.9718  1 N 2.09, 2 O 2.14-2.22
Sb 0.3722 0.1788 0.4718  1 N 2.09, 2 O 2.14-2.22
Sb 0.1278 0.1788 0.9718  1 N 2.09, 2 O 2.14-2.22
O 0.9354 0.0663 0.7017  2 Sb 2.14-2.22, 1 Gd 2.34
O 0.4354 0.9337 0.7017  2 Sb 2.14-2.22, 1 Gd 2.34
O 0.0646 0.9337 0.2017  2 Sb 2.14-2.22, 1 Gd 2.34
O 0.5646 0.0663 0.2017  2 Sb 2.14-2.22, 1 Gd 2.34

---

11.
GdSbNO | GGA-PBE | relaxed

Calculated values
Electronic total energy ... -6.95 eV per atom

Cell lengths 5.5829, 8.2073, 5.8677 Å; angles 90.00, 90.00, 90.00 degrees
With the nearest neighbours (Å) after each atom.
Positions (direct):
Gd 0.4890 0.3703 0.4864  4 O 2.27-2.32, 1 N 2.36
Gd 0.9890 0.6297 0.4864  4 O 2.27-2.32, 1 N 2.36
Gd 0.5110 0.6297 0.9864  4 O 2.27-2.32, 1 N 2.36
Gd 0.0110 0.3703 0.9864  4 O 2.27-2.32, 1 N 2.36
O 0.2495 0.5151 0.2360  4 Gd 2.27-2.32
O 0.7495 0.4849 0.2360  4 Gd 2.27-2.32
O 0.7505 0.4849 0.7360  4 Gd 2.27-2.32
O 0.2505 0.5151 0.7360  4 Gd 2.27-2.32
N 0.6468 0.1033 0.4891  2 Sb 2.03-2.09
N 0.1468 0.8967 0.4891  2 Sb 2.03-2.09
N 0.8532 0.1033 0.9891  2 Sb 2.03-2.09
N 0.3532 0.8967 0.9891  2 Sb 2.03-2.09
Sb 0.9815 0.8721 0.9908  2 N 2.03-2.09
Sb 0.0185 0.1279 0.4908  2 N 2.03-2.09
Sb 0.4815 0.1279 0.9908  2 N 2.03-2.09
Sb 0.5185 0.8721 0.4908  2 N 2.03-2.09

---

12.
GdSbNO | GGA-PBE | relaxed

Calculated values
Electronic total energy ... -6.66 eV per atom

Cell lengths 4.4861, 4.4861, 7.4400 Å; angles 90.00, 90.00, 90.00 degrees
With the nearest neighbours (Å) after each atom.
Positions (direct):
N 0.7500 0.7500 0.5820  1 Gd 2.27, 4 Sb 2.32
N 0.2500 0.2500 0.4180  1 Gd 2.27, 4 Sb 2.32
Sb 0.7500 0.2500 0.5000  4 N 2.32
Sb 0.2500 0.7500 0.5000  4 N 2.32
Gd 0.2500 0.2500 0.1133  1 N 2.27, 4 O 2.40
Gd 0.7500 0.7500 0.8867  1 N 2.27, 4 O 2.40
O 0.2500 0.7500 0.0000  4 Gd 2.40
O 0.7500 0.2500 0.0000  4 Gd 2.40